Density functional theory data (GGA+U) for a geometry-optimized MgCr2O4 structure.

Unit cell a=5.9523 b=5.9523 c=20.1762 alpha=78.68 beta=78.68 gamma=60.88
With the nearest neighbours (Å) after each atom.
Fractional coordinates of all 56 atoms:
1 Mg 0.6618 0.6618 0.0297  4 O 1.97-2.04
2 Mg 0.1298 0.1298 0.1254  6 O 2.05-2.11
3 Mg 0.8936 0.8936 0.2817  4 O 1.97-2.01
4 Mg 0.3587 0.3587 0.3741  6 O 2.06-2.10
5 Mg 0.6221 0.6221 0.6243  6 O 2.07-2.11
6 Mg 0.4896 0.4896 0.4985  6 O 2.07-2.11
7 Mg 0.8866 0.8866 0.8747  6 O 2.02-2.14
8 Mg 0.7550 0.7550 0.7501  6 O 2.07-2.12
9 Cr 0.6371 0.1289 0.1260  6 O 1.99-2.08
10 Cr 0.2457 0.2457 0.2513  6 O 1.98-2.08
11 Cr 0.1289 0.6371 0.1260  6 O 1.99-2.08
12 Cr 0.1488 0.1488 0.5303  4 O 1.90-2.02
13 Cr 0.8633 0.3585 0.3731  6 O 1.99-2.06
14 Cr 0.5969 0.5969 0.2191  4 O 1.90-1.95
15 Cr 0.4168 0.4168 0.7794  4 O 1.90-2.01
16 Cr 0.3585 0.8633 0.3731  6 O 1.99-2.06
17 Cr 0.1218 0.6222 0.6244  6 O 2.03-2.04
18 Cr 0.8289 0.8289 0.4681  4 O 1.91-2.01
19 Cr 0.6222 0.1218 0.6244  6 O 2.03-2.04
20 Cr 0.8858 0.3887 0.8755  6 O 2.01-2.05
21 Cr 0.3887 0.8858 0.8755  6 O 2.01-2.05
22 Cr 0.0950 0.0950 0.7192  4 O 1.90-2.01
23 Cr 0.0092 0.0092 0.0036  6 O 1.99-2.07
24 Cr 0.3562 0.3562 0.9721  4 O 1.93-2.04
25 O 0.2912 0.8378 0.0636  2 Mg 1.97-2.06, 2 Cr 1.99-2.00
26 O 0.9350 0.9350 0.1803  2 Cr 1.99, 2 Mg 1.99-2.05
27 O 0.8378 0.2912 0.0636  2 Mg 1.97-2.06, 2 Cr 1.99-2.00
28 O 0.8290 0.8290 0.0686  3 Cr 2.01-2.04, 1 Mg 2.04
29 O 0.4337 0.4337 0.1852  4 Cr 1.95-2.08
30 O 0.5190 0.0664 0.3127  2 Mg 1.97-2.06, 2 Cr 1.98-1.99
31 O 0.4271 0.9640 0.1879  3 Cr 1.94-2.05, 1 Mg 2.09
32 O 0.1604 0.1604 0.4313  3 Cr 1.97-2.03, 1 Mg 2.10
33 O 0.0664 0.5190 0.3127  2 Mg 1.97-2.06, 2 Cr 1.98-1.99
34 O 0.3311 0.3311 0.0703  3 Cr 1.94-2.04, 1 Mg 2.11
35 O 0.0635 0.0635 0.3153  1 Mg 2.01, 3 Cr 2.02
36 O 0.9640 0.4271 0.1879  3 Cr 1.94-2.05, 1 Mg 2.09
37 O 0.7890 0.3241 0.5614  2 Cr 1.90-2.03, 2 Mg 2.10-2.11
38 O 0.6700 0.6700 0.4267  3 Cr 1.99-2.04, 1 Mg 2.07
39 O 0.6585 0.1890 0.4356  2 Cr 1.91-2.05, 2 Mg 2.09-2.11
40 O 0.4251 0.4251 0.6804  3 Cr 1.98-2.03, 1 Mg 2.08
41 O 0.3241 0.7890 0.5614  2 Cr 1.90-2.03, 2 Mg 2.10-2.11
42 O 0.5568 0.5568 0.3159  3 Cr 1.90-2.06, 1 Mg 2.10
43 O 0.3108 0.3108 0.5715  3 Cr 2.02-2.03, 1 Mg 2.08
44 O 0.1890 0.6585 0.4356  2 Cr 1.91-2.05, 2 Mg 2.09-2.11
45 O 0.9339 0.9339 0.6778  3 Cr 2.01-2.04, 1 Mg 2.07
46 O 0.0587 0.5863 0.8125  2 Cr 1.90-2.03, 2 Mg 2.10-2.12
47 O 0.9188 0.4539 0.6882  2 Cr 1.90-2.04, 2 Mg 2.10-2.11
48 O 0.6945 0.6945 0.9286  2 Mg 1.99-2.02, 2 Cr 2.01
49 O 0.5863 0.0587 0.8125  2 Cr 1.90-2.03, 2 Mg 2.10-2.12
50 O 0.8186 0.8186 0.5689  3 Cr 2.01-2.03, 1 Mg 2.07
51 O 0.5752 0.5752 0.8228  3 Cr 2.01-2.02, 1 Mg 2.08
52 O 0.4539 0.9188 0.6882  2 Cr 1.90-2.04, 2 Mg 2.10-2.11
53 O 0.1900 0.1900 0.9323  4 Cr 2.04-2.07
54 O 0.1842 0.7208 0.9402  3 Cr 1.93-2.07, 1 Mg 2.14
55 O 0.0827 0.0827 0.8200  3 Cr 2.01-2.04, 1 Mg 2.06
56 O 0.7208 0.1842 0.9402  3 Cr 1.93-2.07, 1 Mg 2.14

Output
- E: -7.2502 eV per atom
- Calculated volume: 10.86 Å³/atom
- M_tot: 8.1 μB/cell
- Symmetry: Cm, No. 8